Density functional theory data (GGA-PBE) for a geometry-optimized Tl2CoCu structure.

The formation enthalpy at 0 K is 550 meV/atom. The calculation puts the density of states at the Fermi level at 1.912 states/eV/cell. As for the symmetry: No. 119.

abc: 5.4825 5.4825 5.4825
angles: 138.20 138.20 60.59
Sites, in units of the cell vectors:
Tl (0.0000, 0.0000, 0.0000)
Tl (0.7500, 0.2500, 0.5000)
Co (0.2500, 0.7500, 0.5000)
Cu (0.5000, 0.5000, 0.0000)